The following is a SCAN calculation of a PBEsol-optimized structure of Al2B3HO8, from the Alexandria database.

Summary:
* final energy: -0.679 Ry per atom
* calculated density: 2030 kg/m³
* DOS at the Fermi energy: 0.00 states/eV per cell

POSCAR file:
```
Al2B3HO8
1.0
-5.241 5.476 0.637
-5.436 -4.607 -5.126
-3.974 -4.795 8.524
Al B H O
8 12 4 32
Direct
0.443 0.568 0.885
0.943 0.932 0.615
0.557 0.432 0.385
0.057 0.068 0.115
0.557 0.432 0.115
0.057 0.068 0.385
0.443 0.568 0.615
0.943 0.932 0.885
0.231 0.338 0.750
0.731 0.162 0.750
0.769 0.662 0.250
0.269 0.838 0.250
0.253 0.299 0.981
0.753 0.201 0.519
0.747 0.701 0.481
0.247 0.799 0.019
0.747 0.701 0.019
0.247 0.799 0.481
0.253 0.299 0.519
0.753 0.201 0.981
0.679 0.688 0.750
0.179 0.812 0.750
0.321 0.312 0.250
0.821 0.188 0.250
0.577 0.619 0.750
0.077 0.881 0.750
0.423 0.381 0.250
0.923 0.119 0.250
0.325 0.472 0.750
0.825 0.028 0.750
0.675 0.528 0.250
0.175 0.972 0.250
0.183 0.269 0.862
0.683 0.231 0.638
0.817 0.731 0.362
0.317 0.769 0.138
0.817 0.731 0.138
0.317 0.769 0.362
0.183 0.269 0.638
0.683 0.231 0.862
0.381 0.412 0.993
0.881 0.088 0.507
0.619 0.588 0.493
0.119 0.912 0.007
0.619 0.588 0.007
0.119 0.912 0.493
0.381 0.412 0.507
0.881 0.088 0.993
0.299 0.721 0.916
0.799 0.779 0.584
0.701 0.279 0.416
0.201 0.221 0.084
0.701 0.279 0.084
0.201 0.221 0.416
0.299 0.721 0.584
0.799 0.779 0.916
```

The following is a SCAN calculation of a PBEsol-optimized structure of CaCr2In, from the Alexandria database.

Summary:
* calculated density: 6279 kg/m³
* DOS at the Fermi energy: 3.36 states/eV per cell
* formation energy from the elements: 1.010 eV/atom

POSCAR file:
```
CaCr2In
1.0
-1.097 2.331 0.937
0.699 -0.810 2.524
8.061 4.156 -0.899
Cr Ca In
2 1 1
Direct
0.000 0.000 0.272
0.000 0.000 0.728
0.500 0.500 0.000
0.500 0.500 0.500
```

The following is a SCAN calculation of a PBEsol-optimized structure of Eu2O3, from the Alexandria database.

Summary:
* final energy: -2.073 Ry per atom
* calculated density: 8057 kg/m³
* DOS at the Fermi energy: 15.40 states/eV per cell

POSCAR file:
```
Eu2O3
1.0
-1.022 2.898 1.873
-3.190 0.804 -6.443
-6.114 -4.781 4.061
Eu O
6 9
Direct
0.314 0.627 0.865
0.363 0.726 0.511
0.032 0.065 0.813
0.686 0.373 0.135
0.968 0.935 0.187
0.637 0.274 0.489
0.791 0.582 0.376
0.209 0.418 0.624
0.873 0.746 0.714
0.500 0.000 0.000
0.529 0.057 0.658
0.471 0.943 0.342
0.127 0.254 0.286
0.825 0.651 0.030
0.175 0.349 0.970
```